No. 1
Rb6PaBr12 | GGA-PBE | relaxed

Values from the calculation:
calculated density = 2.97 g/cm3
symmetry = R-3
DFT total energy = -64.00 eV per cell
density of states at the Fermi level = 10.13 states/eV/f.u.
crystal system = trigonal

a b c (Å): 9.8700 9.8700 9.8700
angles (deg): 94.18 94.18 94.18
With the nearest neighbours (Å) after each atom.
Fractional coordinates of all 19 atoms:
Rb 0.1682 0.3360 0.6419  4 Br 3.37-3.42
Rb 0.6640 0.3581 0.8318  4 Br 3.37-3.42
Rb 0.3581 0.8318 0.6640  4 Br 3.37-3.42
Rb 0.8318 0.6640 0.3581  4 Br 3.37-3.42
Rb 0.3360 0.6419 0.1682  4 Br 3.37-3.42
Rb 0.6419 0.1682 0.3360  4 Br 3.37-3.42
Pa 0.0000 0.0000 0.0000  6 Br 2.73
Br 0.4437 0.1577 0.6054  4 Rb 3.37-3.42
Br 0.1577 0.6054 0.4437  4 Rb 3.37-3.42
Br 0.6054 0.4437 0.1577  4 Rb 3.37-3.42
Br 0.5563 0.8423 0.3946  4 Rb 3.37-3.42
Br 0.8423 0.3946 0.5563  4 Rb 3.37-3.42
Br 0.3946 0.5563 0.8423  4 Rb 3.37-3.42
Br 0.0073 0.9720 0.7237  1 Pa 2.73
Br 0.2763 0.9927 0.0280  1 Pa 2.73
Br 0.0280 0.2763 0.9927  1 Pa 2.73
Br 0.9927 0.0280 0.2763  1 Pa 2.73
Br 0.7237 0.0073 0.9720  1 Pa 2.73
Br 0.9720 0.7237 0.0073  1 Pa 2.73

No. 2
Rb4PaBr10 | GGA-PBE | relaxed

Values from the calculation:
calculated density = 3.73 g/cm3
symmetry = I4/m
DFT total energy = -51.33 eV per cell
density of states at the Fermi level = 9.97 states/eV/f.u.
crystal system = tetragonal

a b c (Å): 7.4135 9.8031 9.8031
angles (deg): 81.78 67.78 67.78
With the nearest neighbours (Å) after each atom.
Fractional coordinates of all 15 atoms:
Rb 0.3937 0.8049 0.4076  8 Br 3.43-3.67
Rb 0.8013 0.5924 0.8049  8 Br 3.43-3.67
Rb 0.1987 0.4076 0.1951  8 Br 3.43-3.67
Rb 0.6063 0.1951 0.5924  8 Br 3.43-3.67
Pa 0.0000 0.0000 0.0000  8 Br 2.91
Br 0.2500 0.5000 0.5000  4 Rb 3.43, 2 Br 3.71
Br 0.6923 0.2498 0.9167  1 Pa 2.91
Br 0.0579 0.0833 0.2498  1 Pa 2.91
Br 0.3909 0.9167 0.7502  1 Pa 2.91
Br 0.8588 0.7502 0.0833  1 Pa 2.91
Br 0.3077 0.7502 0.0833  1 Pa 2.91
Br 0.7500 0.5000 0.5000  4 Rb 3.43, 2 Br 3.71
Br 0.1412 0.2498 0.9167  1 Pa 2.91
Br 0.6091 0.0833 0.2498  1 Pa 2.91
Br 0.9421 0.9167 0.7502  1 Pa 2.91

Which formula does entry 2 have?
Rb4PaBr10